Entry 1:
A plane-wave DFT calculation with PBE was carried out for AcTbY3Er after structural relaxation.

## Properties
calculated density: 6.28 Mg/m³
formation enthalpy at 0 K: 128 kJ/mol of formula units
V: 433.40 Å³ per cell

Structure (POSCAR):
```
AcTbY3Er
1.0
11.5238 -2.7093 0.0000
11.5238 2.7093 0.0000
-1.0092 0.0000 6.9406
Ac Tb Y Er
2 2 6 2
Direct
0.1274 0.1274 0.4819
0.8726 0.8726 0.5181
0.4250 0.4250 0.8837
0.5750 0.5750 0.1163
0.0226 0.0226 0.7830
0.2748 0.2748 0.6911
0.3203 0.3203 0.2158
0.6797 0.6797 0.7842
0.7252 0.7252 0.3089
0.9774 0.9774 0.2170
0.1676 0.1676 0.0244
0.8324 0.8324 0.9756
```



Entry 2:
A plane-wave DFT calculation with PBE was carried out for GaSb2TeCl after structural relaxation.

## Properties
calculated density: 5.13 Mg/m³
offset from the most stable computed form: 0.000 eV per atom
V: 154.07 Å³ per cell
energy relative to the elements, uncorrected: 0.400 eV per atom

Structure (POSCAR):
```
GaSb2TeCl
1.0
5.3814 0.0000 0.0000
0.0000 5.3814 0.0000
0.0000 0.0000 5.3202
Ga Sb Te Cl
1 2 1 1
Direct
0.0000 0.0000 0.0000
0.0000 0.5000 0.0000
0.5000 0.0000 0.0000
0.0000 0.0000 0.5000
0.5000 0.5000 0.5000
```



Entry 3:
A plane-wave DFT calculation with PBE was carried out for CaCuSi2O6 after structural relaxation.

## Properties
calculated density: 3.33 Mg/m³
V: 1019.09 Å³ per cell
energy relative to the elements, uncorrected: -2.386 eV per atom

Structure (POSCAR):
```
CaCuSi2O6
1.0
5.4900 0.0000 0.0000
0.0000 19.2016 0.0000
0.0000 0.0000 9.6672
Ca Cu Si O
8 8 16 48
Direct
0.0927 0.1262 0.1449
0.0927 0.3738 0.6449
0.4073 0.6262 0.1449
0.4073 0.8738 0.6449
0.5927 0.1262 0.3551
0.5927 0.3738 0.8551
0.9073 0.6262 0.3551
0.9073 0.8738 0.8551
0.1035 0.1232 0.5171
0.1035 0.3768 0.0171
0.3965 0.6232 0.5171
0.3965 0.8768 0.0171
0.6035 0.1232 0.9829
0.6035 0.3768 0.4829
0.8965 0.6232 0.9829
0.8965 0.8768 0.4829
0.1074 0.7204 0.6713
0.1074 0.7796 0.1713
0.2234 0.5202 0.8361
0.2234 0.9798 0.3361
0.2766 0.0202 0.8361
0.2766 0.4798 0.3361
0.3926 0.2204 0.6713
0.3926 0.2796 0.1713
0.6074 0.7204 0.8287
0.6074 0.7796 0.3287
0.7234 0.5202 0.6639
0.7234 0.9798 0.1639
0.7766 0.0202 0.6639
0.7766 0.4798 0.1639
0.8926 0.2204 0.8287
0.8926 0.2796 0.3287
0.0021 0.0380 0.7726
0.0021 0.4620 0.2726
0.0848 0.6960 0.1701
0.0848 0.8040 0.6701
0.1166 0.6823 0.5205
0.1166 0.8177 0.0205
0.1253 0.1901 0.7336
0.1253 0.3099 0.2336
0.1851 0.5689 0.9718
0.1851 0.9311 0.4718
0.2274 0.0649 0.3573
0.2274 0.4351 0.8573
0.2726 0.5649 0.3573
0.2726 0.9351 0.8573
0.3149 0.0689 0.9718
0.3149 0.4311 0.4718
0.3747 0.6901 0.7336
0.3747 0.8099 0.2336
0.3834 0.1823 0.5205
0.3834 0.3177 0.0205
0.4152 0.1960 0.1701
0.4152 0.3040 0.6701
0.4979 0.5380 0.7726
0.4979 0.9620 0.2726
0.5021 0.0380 0.7274
0.5021 0.4620 0.2274
0.5848 0.6960 0.3299
0.5848 0.8040 0.8299
0.6166 0.6823 0.9795
0.6166 0.8177 0.4795
0.6253 0.1901 0.7664
0.6253 0.3099 0.2664
0.6851 0.5689 0.5282
0.6851 0.9311 0.0282
0.7274 0.0649 0.1427
0.7274 0.4351 0.6427
0.7726 0.5649 0.1427
0.7726 0.9351 0.6427
0.8149 0.0689 0.5282
0.8149 0.4311 0.0282
0.8747 0.6901 0.7664
0.8747 0.8099 0.2664
0.8834 0.1823 0.9795
0.8834 0.3177 0.4795
0.9152 0.1960 0.3299
0.9152 0.3040 0.8299
0.9979 0.5380 0.7274
0.9979 0.9620 0.2274
```



Entry 4:
A plane-wave DFT calculation with PBE was carried out for CdOs2Br after structural relaxation.

## Properties
calculated density: 14.13 Mg/m³
offset from the most stable computed form: 1.059 eV per atom
V: 67.32 Å³ per cell
energy relative to the elements, uncorrected: 1.494 eV per atom

Structure (POSCAR):
```
CdOs2Br
1.0
4.6429 0.0000 0.0000
0.0000 4.6429 0.0000
0.0000 0.0000 3.1229
Cd Os Br
1 2 1
Direct
0.0000 0.0000 0.0000
0.0000 0.5000 0.5000
0.5000 0.0000 0.5000
0.5000 0.5000 0.0000
```



Entry 5:
A plane-wave DFT calculation with PBE was carried out for Mo3Os after structural relaxation.

## Properties
calculated density: 12.68 Mg/m³
formation enthalpy at 0 K: 75 kJ/mol of formula units
offset from the most stable computed form: 0.193 eV per atom
V: 250.52 Å³ per cell

Structure (POSCAR):
```
Mo3Os
1.0
4.9793 0.0000 0.0000
0.0000 9.1994 0.0000
0.0000 0.0000 5.4690
Mo Os
12 4
Direct
0.0499 0.2500 0.1165
0.2298 0.5152 0.3777
0.2298 0.9848 0.3777
0.2702 0.0152 0.8777
0.2702 0.4848 0.8777
0.4501 0.7500 0.6165
0.5499 0.2500 0.3835
0.7298 0.5152 0.1223
0.7298 0.9848 0.1223
0.7702 0.0152 0.6223
0.7702 0.4848 0.6223
0.9501 0.7500 0.8835
0.0754 0.2500 0.6116
0.4246 0.7500 0.1116
0.5754 0.2500 0.8884
0.9246 0.7500 0.3884
```



Entry 6:
A plane-wave DFT calculation with PBE was carried out for Sr2Li5Hg after structural relaxation.

## Properties
calculated density: 2.75 Mg/m³
formation enthalpy at 0 K: -53 kJ/mol of formula units
V: 495.24 Å³ per cell

Structure (POSCAR):
```
Sr2Li5Hg
1.0
6.3130 0.0000 0.0000
0.0000 6.3130 0.0000
0.0000 0.0000 12.4264
Sr Li Hg
4 10 2
Direct
0.0000 0.5000 0.0000
0.0000 0.5000 0.5000
0.5000 0.0000 0.0000
0.5000 0.0000 0.5000
0.0000 0.0000 0.1156
0.2427 0.2427 0.7572
0.2427 0.7573 0.7572
0.2573 0.2573 0.2572
0.2573 0.7427 0.2572
0.5000 0.5000 0.6156
0.7427 0.2573 0.2572
0.7427 0.7427 0.2572
0.7573 0.2427 0.7572
0.7573 0.7573 0.7572
0.0000 0.0000 0.8983
0.5000 0.5000 0.3983
```